PrErSbO2 | PBE | relaxed

a b c (Å): 3.960 7.322 7.947
angles (deg): 106.46 90.00 90.00
Positions (direct):
Pr 0.250 0.682 0.927
Pr 0.750 0.318 0.073
Er 0.250 0.643 0.409
Er 0.750 0.357 0.591
Sb 0.250 0.034 0.719
Sb 0.750 0.966 0.281
O 0.750 0.499 0.380
O 0.250 0.501 0.620
O 0.750 0.513 0.874
O 0.250 0.487 0.126

Properties
The total DFT energy (no corrections) is -7.28 eV/atom. For the density of states at the Fermi level, the calculation gives 1.1 states/eV/f.u. Its total magnetization is 0.0 μB/f.u. The formation energy (no corrections) is -2600 meV per atom. Its space group is P2_1/m, No. 11.


Pr2ErScO6 | PBE | relaxed

a b c (Å): 5.731 5.965 8.303
angles (deg): 90.00 90.33 90.00
Positions (direct):
Pr 0.018 0.945 0.250
Pr 0.518 0.555 0.750
Pr 0.982 0.055 0.750
Pr 0.482 0.445 0.250
Er 0.500 0.000 0.000
Er 0.000 0.500 0.500
Sc 0.500 0.000 0.500
Sc 0.000 0.500 0.000
O 0.296 0.693 0.063
O 0.796 0.807 0.563
O 0.704 0.307 0.937
O 0.204 0.193 0.437
O 0.310 0.704 0.434
O 0.810 0.796 0.934
O 0.690 0.296 0.566
O 0.190 0.204 0.066
O 0.879 0.551 0.243
O 0.379 0.949 0.743
O 0.121 0.449 0.757
O 0.621 0.051 0.257

Properties
The total DFT energy (no corrections) is -8.47 eV/atom. For the density of states at the Fermi level, the calculation gives 0.0 states/eV/f.u. Its total magnetization is 0.0 μB/f.u. The formation energy (no corrections) is -3446 meV per atom. Its space group is P2_1/c, No. 14.


Pr2ErSe2O2 | PBE | relaxed

a b c (Å): 4.309 4.309 8.423
angles (deg): 104.82 104.82 90.00
Positions (direct):
Pr 0.373 0.373 0.746
Pr 0.627 0.627 0.254
Er 0.000 0.000 0.000
Se 0.179 0.179 0.358
Se 0.821 0.821 0.642
O 0.000 0.500 0.000
O 0.500 0.000 0.000

Properties
The total DFT energy (no corrections) is -6.85 eV/atom. For the density of states at the Fermi level, the calculation gives 2.5 states/eV/f.u. Its total magnetization is 0.0 μB/f.u. The formation energy (no corrections) is -2425 meV per atom. Its space group is I4/mmm, No. 139.


Question: The lowest formation energy (no corrections) belongs to which entry?
Answer: Pr2ErScO6


Question: The lowest formation energy (no corrections) belongs to which entry?
Answer: Pr2ErScO6